First-principles (GGA-PBE) data for an optimized crystal structure of TcGeAs2, as listed in OQMD via LeMat-Bulk.

Summary:
As for the size of the total moment: 0.001 μB per atom. The crystal system is cubic. The value obtained for the total energy is -5.639 eV per atom.

extended XYZ file:
```
4
Lattice="0.000 3.203 3.203 3.203 0.000 3.203 3.203 3.203 0.000" Properties=species:S:1:pos:R:3 pbc="T T T"
Tc 0.000 0.000 0.000
Ge 1.602 1.602 1.602
As 3.203 3.203 3.203
As 4.805 4.805 4.805
```

***

First-principles (GGA-PBE) data for an optimized crystal structure of Tc2Ge2As, as listed in OQMD via LeMat-Bulk.

Summary:
As for the size of the total moment: 0.132 μB per atom. The crystal system is tetragonal. The value obtained for the total energy is -6.764 eV per atom.

extended XYZ file:
```
5
Lattice="-1.773 1.773 6.429 1.773 -1.773 6.429 1.773 1.773 -6.429" Properties=species:S:1:pos:R:3 pbc="T T T"
Tc 0.000 0.000 1.380
Tc 0.000 0.000 11.478
Ge 1.773 0.000 3.214
Ge 0.000 1.773 3.214
As 0.000 0.000 6.429
```

***

First-principles (GGA-PBE) data for an optimized crystal structure of TcGeAs, as listed in OQMD via LeMat-Bulk.

Summary:
The calculation puts the energy above the lowest structure with this stoichiometry at 892 meV per atom. As for the size of the total moment: 0.397 μB per atom. The crystal system is cubic. The value obtained for the total energy is -5.903 eV per atom.

extended XYZ file:
```
3
Lattice="0.000 3.026 3.026 3.026 0.000 3.026 3.026 3.026 0.000" Properties=species:S:1:pos:R:3 pbc="T T T"
Tc 0.000 0.000 0.000
Ge 3.026 3.026 3.026
As 4.538 4.538 4.538
```

***

First-principles (GGA-PBE) data for an optimized crystal structure of TcGeAs, as listed in OQMD via LeMat-Bulk.

Summary:
The calculation puts the energy above the lowest structure with this stoichiometry at 434 meV per atom. As for the size of the total moment: 0.000 μB per atom. The crystal system is cubic. The value obtained for the total energy is -6.361 eV per atom.

extended XYZ file:
```
3
Lattice="0.000 3.003 3.003 3.003 0.000 3.003 3.003 3.003 0.000" Properties=species:S:1:pos:R:3 pbc="T T T"
Tc 0.000 0.000 0.000
Ge 4.505 4.505 4.505
As 1.502 1.502 1.502
```

***

First-principles (GGA-PBE) data for an optimized crystal structure of Th4GeAs3, as listed in OQMD via LeMat-Bulk.

Summary:
As for the size of the total moment: 0.001 μB per atom. The crystal system is cubic. The value obtained for the total energy is -7.286 eV per atom.

extended XYZ file:
```
8
Lattice="6.033 0.000 0.000 0.000 6.033 0.000 0.000 0.000 6.033" Properties=species:S:1:pos:R:3 pbc="T T T"
Th 0.000 0.000 0.000
Th 0.000 3.016 3.016
Th 3.016 0.000 3.016
Th 3.016 3.016 0.000
Ge 3.016 3.016 3.016
As 0.000 0.000 3.016
As 0.000 3.016 0.000
As 3.016 0.000 0.000
```

***

First-principles (GGA-PBE) data for an optimized crystal structure of ThGeAs, as listed in OQMD via LeMat-Bulk.

Summary:
As for the size of the total moment: 0.000 μB per atom. The crystal system is cubic. The value obtained for the total energy is -5.851 eV per atom.

extended XYZ file:
```
3
Lattice="0.000 3.468 3.468 3.468 0.000 3.468 3.468 3.468 0.000" Properties=species:S:1:pos:R:3 pbc="T T T"
Th 0.000 0.000 0.000
Ge 1.734 1.734 1.734
As 5.202 5.202 5.202
```

***

First-principles (GGA-PBE) data for an optimized crystal structure of Th4Ge3As, as listed in OQMD via LeMat-Bulk.

Summary:
As for the size of the total moment: 0.001 μB per atom. The crystal system is cubic. The value obtained for the total energy is -6.969 eV per atom.

extended XYZ file:
```
8
Lattice="6.068 0.000 0.000 0.000 6.068 0.000 0.000 0.000 6.068" Properties=species:S:1:pos:R:3 pbc="T T T"
Th 0.000 0.000 0.000
Th 0.000 3.034 3.034
Th 3.034 0.000 3.034
Th 3.034 3.034 0.000
Ge 0.000 0.000 3.034
Ge 0.000 3.034 0.000
Ge 3.034 0.000 0.000
As 3.034 3.034 3.034
```

***

First-principles (GGA-PBE) data for an optimized crystal structure of ZnGeAs2, as listed in OQMD via LeMat-Bulk.

Summary:
The calculation puts the energy above the lowest structure with this stoichiometry at 0 meV per atom. The crystal system is tetragonal. The value obtained for the total energy is -3.966 eV per atom.

extended XYZ file:
```
8
Lattice="-2.879 2.879 5.662 2.879 -2.879 5.662 2.879 2.879 -5.662" Properties=species:S:1:pos:R:3 pbc="T T T"
Zn 0.000 0.000 0.000
Zn 0.000 2.879 2.831
Ge 2.879 0.000 2.831
Ge 0.000 0.000 5.662
As 1.439 -1.435 4.247
As 1.444 1.439 1.416
As 1.439 4.314 -1.416
As 1.435 1.439 7.078
```